No. 1
Entry from Alexandria via LeMat-Bulk: a geometry-optimized MnAl structure (PBEsol).

Geometry as CIF:
```
data_MnAl
_chemical_formula_sum 'Mn4 Al4'
_symmetry_space_group_name_H-M 'P n m a'
_symmetry_Int_Tables_number 62
_symmetry_space_group_name_Hall '-P 2ac 2n'
_cell_length_a 4.756
_cell_length_b 4.197
_cell_length_c 5.095
_cell_angle_alpha 90.00
_cell_angle_beta 90.00
_cell_angle_gamma 90.00
loop_
_atom_site_label
_atom_site_type_symbol
_atom_site_fract_x
_atom_site_fract_y
_atom_site_fract_z
Mn1 Mn 0.092 0.250 0.121
Al1 Al 0.105 0.250 0.623
```

Properties
Volume in Å³/cell: 101.7
E_form in meV per atom: -129
Total magnetic moment in μB per formula unit: 2.07
Raw total energy in Ry per atom: -0.519


No. 2
Entry from Alexandria via LeMat-Bulk: a geometry-optimized CdCl2F2 structure (PBEsol).

Geometry as CIF:
```
data_CdCl2F2
_chemical_formula_sum 'Cd2 Cl4 F4'
_symmetry_space_group_name_H-M 'P 4/m b m'
_symmetry_Int_Tables_number 127
_symmetry_space_group_name_Hall '-P 4 2ab'
_cell_length_a 5.862
_cell_length_b 5.862
_cell_length_c 5.753
_cell_angle_alpha 90.00
_cell_angle_beta 90.00
_cell_angle_gamma 90.00
loop_
_atom_site_label
_atom_site_type_symbol
_atom_site_fract_x
_atom_site_fract_y
_atom_site_fract_z
Cd1 Cd 0.000 0.000 0.000
Cl1 Cl 0.120 0.380 0.500
F1 F 0.188 0.688 0.000
```

Properties
Volume in Å³/cell: 197.7
Total magnetic moment in μB per formula unit: 0.00
Raw total energy in Ry per atom: -0.212
Formation energy without anion corrections in eV per atom: -1.076


No. 3
Entry from Alexandria via LeMat-Bulk: a geometry-optimized LaZrPb2 structure (PBEsol).

Geometry as CIF:
```
data_LaZrPb2
_chemical_formula_sum 'La3 Zr3 Pb6'
_symmetry_space_group_name_H-M 'R 3 m'
_symmetry_Int_Tables_number 160
_symmetry_space_group_name_Hall 'R 3 -2"'
_cell_length_a 3.4231
_cell_length_b 3.4231
_cell_length_c 32.8456
_cell_angle_alpha 90.00
_cell_angle_beta 90.00
_cell_angle_gamma 120.00
loop_
_atom_site_label
_atom_site_type_symbol
_atom_site_fract_x
_atom_site_fract_y
_atom_site_fract_z
La1 La 0.0000 0.0000 0.0000
Zr1 Zr 0.0000 0.0000 0.2507
Pb1 Pb 0.0000 0.0000 0.5082
Pb2 Pb 0.0000 0.0000 0.7567
```

Properties
Volume in Å³/cell: 333.3
E_form in meV per atom: 36
Total magnetic moment in μB per formula unit: 0.00
Raw total energy in Ry per atom: -0.410


No. 4
Entry from Alexandria via LeMat-Bulk: a geometry-optimized Y3MnAu structure (PBEsol).

Geometry as CIF:
```
data_Y3MnAu
_chemical_formula_sum 'Y3 Mn1 Au1'
_symmetry_space_group_name_H-M 'P m -3 m'
_symmetry_Int_Tables_number 221
_symmetry_space_group_name_Hall '-P 4 2 3'
_cell_length_a 5.424
_cell_length_b 5.424
_cell_length_c 5.424
_cell_angle_alpha 90.00
_cell_angle_beta 90.00
_cell_angle_gamma 90.00
loop_
_atom_site_label
_atom_site_type_symbol
_atom_site_fract_x
_atom_site_fract_y
_atom_site_fract_z
Y1 Y 0.000 0.000 0.500
Mn1 Mn 0.500 0.500 0.500
Au1 Au 0.000 0.000 0.000
```

Properties
Volume in Å³/cell: 159.6
E_form in meV per atom: 403
Total magnetic moment in μB per formula unit: 2.74
Raw total energy in Ry per atom: -0.472


No. 5
Entry from Alexandria via LeMat-Bulk: a geometry-optimized LiZn2Ag structure (PBEsol).

Geometry as CIF:
```
data_LiZn2Ag
_chemical_formula_sum 'Li4 Zn8 Ag4'
_symmetry_space_group_name_H-M 'F m -3 m'
_symmetry_Int_Tables_number 225
_symmetry_space_group_name_Hall '-F 4 2 3'
_cell_length_a 6.133
_cell_length_b 6.133
_cell_length_c 6.133
_cell_angle_alpha 90.00
_cell_angle_beta 90.00
_cell_angle_gamma 90.00
loop_
_atom_site_label
_atom_site_type_symbol
_atom_site_fract_x
_atom_site_fract_y
_atom_site_fract_z
Li1 Li 0.000 0.000 0.000
Zn1 Zn 0.250 0.250 0.250
Ag1 Ag 0.000 0.000 0.500
```

Properties
Volume in Å³/cell: 230.7
E_form in meV per atom: -180
Total magnetic moment in μB per formula unit: 0.00
Raw total energy in Ry per atom: -0.168


No. 6
Entry from Alexandria via LeMat-Bulk: a geometry-optimized KOs2Br structure (PBEsol).

Geometry as CIF:
```
data_KOs2Br
_chemical_formula_sum 'K1 Os2 Br1'
_symmetry_space_group_name_H-M 'P 4 m m'
_symmetry_Int_Tables_number 99
_symmetry_space_group_name_Hall 'P 4 -2'
_cell_length_a 3.093
_cell_length_b 3.093
_cell_length_c 8.409
_cell_angle_alpha 90.00
_cell_angle_beta 90.00
_cell_angle_gamma 90.00
loop_
_atom_site_label
_atom_site_type_symbol
_atom_site_fract_x
_atom_site_fract_y
_atom_site_fract_z
K1 K 0.000 0.000 0.000
Os1 Os 0.000 0.000 0.470
Os2 Os 0.500 0.500 0.321
Br1 Br 0.500 0.500 0.724
```

Properties
Volume in Å³/cell: 80.5
Polymorph energy (0 for the lowest one) in meV/atom: 0
Total magnetic moment in μB per formula unit: 0.00
Raw total energy in Ry per atom: -0.461
Formation energy without anion corrections in eV per atom: 0.584